Entry 1:
DFT (PBE-GGA) results for GdCdSnPt after structural relaxation.

a = 4.990 Å, b = 4.990 Å, c = 4.990 Å
α = 60.00°, β = 60.00°, γ = 60.00°
Sites, in units of the cell vectors:
Gd  0.000  0.000  0.000
Cd  0.750  0.750  0.750
Sn  0.500  0.500  0.500
Pt  0.250  0.250  0.250

Results
Magnetization = 7.0 μB/cell

---

Entry 2:
DFT (PBE-GGA) results for SrGdCdPt after structural relaxation.

a = 5.258 Å, b = 5.258 Å, c = 5.258 Å
α = 60.00°, β = 60.00°, γ = 60.00°
Sites, in units of the cell vectors:
Sr  0.000  0.000  0.000
Gd  0.500  0.500  0.500
Cd  0.750  0.750  0.750
Pt  0.250  0.250  0.250

Results
Magnetization = 7.2 μB/cell

---

Entry 3:
DFT (PBE-GGA) results for TbGdCdPt after structural relaxation.

a = 5.131 Å, b = 5.131 Å, c = 5.131 Å
α = 60.00°, β = 60.00°, γ = 60.00°
Sites, in units of the cell vectors:
Tb  0.000  0.000  0.000
Gd  0.500  0.500  0.500
Cd  0.250  0.250  0.250
Pt  0.750  0.750  0.750

Results
Magnetization = 7.1 μB/cell

---

Entry 4:
DFT (PBE-GGA) results for GdTlCdPt after structural relaxation.

a = 5.021 Å, b = 5.021 Å, c = 5.021 Å
α = 60.00°, β = 60.00°, γ = 60.00°
Sites, in units of the cell vectors:
Gd  0.000  0.000  0.000
Tl  0.250  0.250  0.250
Cd  0.500  0.500  0.500
Pt  0.750  0.750  0.750

Results
Magnetization = 7.1 μB/cell

---

Entry 5:
DFT (PBE-GGA) results for GdYCdPt after structural relaxation.

a = 5.128 Å, b = 5.128 Å, c = 5.128 Å
α = 60.00°, β = 60.00°, γ = 60.00°
Sites, in units of the cell vectors:
Gd  0.000  0.000  0.000
Y  0.500  0.500  0.500
Cd  0.250  0.250  0.250
Pt  0.750  0.750  0.750

Results
Magnetization = 7.1 μB/cell

---

Entry 6:
DFT (PBE-GGA) results for GdZnCdPt after structural relaxation.

a = 4.850 Å, b = 4.850 Å, c = 4.850 Å
α = 60.00°, β = 60.00°, γ = 60.00°
Sites, in units of the cell vectors:
Gd  0.000  0.000  0.000
Zn  0.750  0.750  0.750
Cd  0.500  0.500  0.500
Pt  0.250  0.250  0.250

Results
Magnetization = 7.2 μB/cell

---

Entry 7:
DFT (PBE-GGA) results for GdPuCd after structural relaxation.

a = 7.248 Å, b = 7.248 Å, c = 7.248 Å
α = 151.96°, β = 151.96°, γ = 40.07°
Sites, in units of the cell vectors:
Gd  0.000  0.000  0.000
Pu  0.683  0.683  0.000
Cd  0.343  0.343  0.000

Results
Magnetization = 13.7 μB/cell
Polymorph energy (0 for the lowest one) = 0.0 meV/atom

---

Entry 8:
DFT (PBE-GGA) results for GdPu2Cd after structural relaxation.

a = 5.476 Å, b = 5.476 Å, c = 3.629 Å
α = 90.00°, β = 90.00°, γ = 90.00°
Sites, in units of the cell vectors:
Gd  0.000  0.000  0.000
Pu  0.000  0.500  0.500
Pu  0.500  0.000  0.500
Cd  0.500  0.500  0.000

Results
Magnetization = 5.0 μB/cell
Polymorph energy (0 for the lowest one) = 0.0 meV/atom

---

Entry 9:
DFT (PBE-GGA) results for GdPu2Cd after structural relaxation.

a = 5.365 Å, b = 5.365 Å, c = 5.365 Å
α = 60.00°, β = 60.00°, γ = 60.00°
Sites, in units of the cell vectors:
Gd  0.000  0.000  0.000
Pu  0.250  0.250  0.250
Pu  0.750  0.750  0.750
Cd  0.500  0.500  0.500

Results
Magnetization = 20.3 μB/cell
Polymorph energy (0 for the lowest one) = 7.6 meV/atom

---

Entry 10:
DFT (PBE-GGA) results for GdPuCd after structural relaxation.

a = 5.353 Å, b = 5.353 Å, c = 3.198 Å
α = 90.00°, β = 90.00°, γ = 120.00°
Sites, in units of the cell vectors:
Gd  0.000  0.000  0.000
Pu  0.667  0.333  0.361
Cd  0.333  0.667  0.678

Results
Magnetization = 1.4 μB/cell
Polymorph energy (0 for the lowest one) = 55.2 meV/atom

---

Entry 11:
DFT (PBE-GGA) results for GdPuCdRh after structural relaxation.

a = 5.097 Å, b = 5.097 Å, c = 5.097 Å
α = 60.00°, β = 60.00°, γ = 60.00°
Sites, in units of the cell vectors:
Gd  0.000  0.000  0.000
Pu  0.500  0.500  0.500
Cd  0.750  0.750  0.750
Rh  0.250  0.250  0.250

Results
Magnetization = 12.6 μB/cell

---

Entry 12:
DFT (PBE-GGA) results for GdPuCdRu after structural relaxation.

a = 5.065 Å, b = 5.065 Å, c = 5.065 Å
α = 60.00°, β = 60.00°, γ = 60.00°
Sites, in units of the cell vectors:
Gd  0.000  0.000  0.000
Pu  0.500  0.500  0.500
Cd  0.250  0.250  0.250
Ru  0.750  0.750  0.750

Results
Magnetization = 12.5 μB/cell

---

Entry 13:
DFT (PBE-GGA) results for GdPuCdSn after structural relaxation.

a = 5.357 Å, b = 5.357 Å, c = 5.357 Å
α = 60.00°, β = 60.00°, γ = 60.00°
Sites, in units of the cell vectors:
Gd  0.000  0.000  0.000
Pu  0.500  0.500  0.500
Cd  0.250  0.250  0.250
Sn  0.750  0.750  0.750

Results
Magnetization = 0.9 μB/cell

---

Entry 14:
DFT (PBE-GGA) results for RbGdCd2 after structural relaxation.

a = 3.868 Å, b = 3.868 Å, c = 8.938 Å
α = 90.00°, β = 90.00°, γ = 90.00°
Sites, in units of the cell vectors:
Rb  0.000  0.000  0.000
Gd  0.000  0.000  0.500
Cd  0.500  0.500  0.305
Cd  0.500  0.500  0.695

Results
Magnetization = 7.6 μB/cell

---

Entry 15:
DFT (PBE-GGA) results for RbGdCd4 after structural relaxation.

a = 6.193 Å, b = 6.193 Å, c = 6.193 Å
α = 60.00°, β = 60.00°, γ = 60.00°
Sites, in units of the cell vectors:
Rb  0.000  0.000  0.000
Gd  0.750  0.750  0.750
Cd  0.376  0.376  0.376
Cd  0.376  0.376  0.872
Cd  0.376  0.872  0.376
Cd  0.872  0.376  0.376

Results
Magnetization = 7.8 μB/cell

---

Entry 16:
DFT (PBE-GGA) results for Gd2CdRe after structural relaxation.

a = 3.485 Å, b = 3.485 Å, c = 7.940 Å
α = 90.00°, β = 90.00°, γ = 90.00°
Sites, in units of the cell vectors:
Gd  0.000  0.000  0.211
Gd  0.000  0.000  0.789
Cd  0.500  0.500  0.500
Re  0.500  0.500  0.000

Results
Magnetization = 14.2 μB/cell

---

Entry 17:
DFT (PBE-GGA) results for GdCdRh2 after structural relaxation.

a = 4.718 Å, b = 4.718 Å, c = 4.718 Å
α = 60.00°, β = 60.00°, γ = 60.00°
Sites, in units of the cell vectors:
Gd  0.000  0.000  0.000
Cd  0.500  0.500  0.500
Rh  0.250  0.250  0.250
Rh  0.750  0.750  0.750

Results
Magnetization = 7.1 μB/cell

---

Entry 18:
DFT (PBE-GGA) results for Gd2CdRh after structural relaxation.

a = 5.108 Å, b = 5.108 Å, c = 5.108 Å
α = 60.00°, β = 60.00°, γ = 60.00°
Sites, in units of the cell vectors:
Gd  0.250  0.250  0.250
Gd  0.750  0.750  0.750
Cd  0.000  0.000  0.000
Rh  0.500  0.500  0.500

Results
Magnetization = 14.2 μB/cell
Polymorph energy (0 for the lowest one) = 82.9 meV/atom

---

Entry 19:
DFT (PBE-GGA) results for GdCdRh2 after structural relaxation.

a = 4.492 Å, b = 4.492 Å, c = 3.638 Å
α = 90.00°, β = 90.00°, γ = 90.00°
Sites, in units of the cell vectors:
Gd  0.000  0.000  0.000
Cd  0.500  0.500  0.000
Rh  0.000  0.500  0.500
Rh  0.500  0.000  0.500

Results
Magnetization = 7.1 μB/cell

---

Entry 20:
DFT (PBE-GGA) results for Gd2CdRh after structural relaxation.

a = 3.543 Å, b = 3.543 Å, c = 7.631 Å
α = 90.00°, β = 90.00°, γ = 90.00°
Sites, in units of the cell vectors:
Gd  0.000  0.000  0.217
Gd  0.000  0.000  0.783
Cd  0.500  0.500  0.500
Rh  0.500  0.500  0.000

Results
Magnetization = 14.1 μB/cell
Polymorph energy (0 for the lowest one) = 0.0 meV/atom

---

Summary of formation energy from the elements in meV per atom
-587; -550; -705; -472; -709; -569; -18; 183; 191; 37; -265; -54; -314; -94; -18; -32; -536; -493; -570; -576
(order as listed above)
Summary of E_tot in eV/atom
-6.847; -6.230; -7.121; -6.323; -7.585; -6.147; -9.794; -10.732; -10.724; -9.739; -9.434; -9.705; -8.646; -4.314; -3.136; -10.414; -7.961; -9.601; -7.994; -9.683
(order as listed above)